# 1
DFT (PBE-GGA) results for a relaxed structure of PtSeBr2O.

Unit cell a=4.788 b=4.788 c=4.241 alpha=90.00 beta=90.00 gamma=90.00
Last column: magnetic moment on the atom in μB.
Fractional coordinates of all 5 atoms:
O  0.000  0.000  0.000  0.00
Br  0.500  0.000  0.000  0.05
Br  0.000  0.500  0.000  0.05
Pt  0.500  0.500  0.500  0.37
Se  0.000  0.000  0.500  0.09

Values from the calculation:
**Distance to the lowest polymorph of the same formula**: 0.391 eV per formula unit
**Symmetry**: P4/mmm (123)
**E_form (uncorrected)**: 0.9902 eV/atom

***

# 2
DFT (PBE-GGA) results for a relaxed structure of PuBr3O.

Unit cell a=10.788 b=8.409 c=11.970 alpha=66.18 beta=90.00 gamma=90.00
Last column: magnetic moment on the atom in μB.
Fractional coordinates of all 20 atoms:
Br  0.384  0.073  0.079  -0.18
Br  0.863  0.402  0.427  -0.17
Br  0.875  0.073  0.077  -0.11
Br  0.137  0.402  0.927  -0.17
Br  0.863  0.598  0.073  -0.17
Br  0.875  0.927  0.423  -0.11
Br  0.125  0.927  0.923  -0.11
Br  0.616  0.927  0.921  -0.18
Br  0.125  0.073  0.577  -0.11
Br  0.384  0.927  0.421  -0.18
Br  0.137  0.598  0.573  -0.17
Br  0.616  0.073  0.579  -0.18
Pu  0.138  0.080  0.098  3.78
Pu  0.862  0.920  0.902  3.78
Pu  0.138  0.920  0.402  3.78
Pu  0.862  0.080  0.598  3.78
O  0.134  0.143  0.254  -0.21
O  0.866  0.143  0.754  -0.21
O  0.866  0.857  0.746  -0.21
O  0.134  0.857  0.246  -0.21

Values from the calculation:
**Symmetry**: P2/c (13)
**E_form (uncorrected)**: -1.4879 eV/atom

***

# 3
DFT (PBE-GGA) results for a relaxed structure of PuBrO2.

Unit cell a=3.402 b=5.864 c=7.645 alpha=90.00 beta=90.00 gamma=106.86
Last column: magnetic moment on the atom in μB.
Fractional coordinates of all 8 atoms:
O  0.321  0.641  0.590  -0.23
O  0.679  0.359  0.090  -0.23
O  0.679  0.359  0.410  -0.23
O  0.321  0.641  0.910  -0.23
Br  0.939  0.879  0.250  -0.13
Br  0.061  0.121  0.750  -0.13
Pu  0.804  0.608  0.750  3.63
Pu  0.196  0.392  0.250  3.63

Values from the calculation:
**Distance to the lowest polymorph of the same formula**: 0.000 eV per formula unit
**Symmetry**: Cmcm (63)
**E_form (uncorrected)**: -2.0718 eV/atom

***

# 4
DFT (PBE-GGA) results for a relaxed structure of PuBrO2.

Unit cell a=3.577 b=3.577 c=7.297 alpha=75.81 beta=75.81 gamma=60.00
Last column: magnetic moment on the atom in μB.
Fractional coordinates of all 4 atoms:
Pu  0.000  0.000  0.000  4.02
Br  0.500  0.500  0.500  -0.31
O  0.296  0.296  0.113  -0.19
O  0.704  0.704  0.887  -0.19

Values from the calculation:
**Distance to the lowest polymorph of the same formula**: 0.037 eV per formula unit
**Symmetry**: R-3m (166)
**E_form (uncorrected)**: -2.0627 eV/atom

***

# 5
DFT (PBE-GGA) results for a relaxed structure of PuBrO4.

Unit cell a=6.003 b=5.881 c=9.845 alpha=97.65 beta=114.95 gamma=89.65
Last column: magnetic moment on the atom in μB.
Fractional coordinates of all 12 atoms:
Pu  0.000  0.500  0.500  0.24
Pu  0.500  0.000  0.500  0.33
O  0.135  0.608  0.698  -0.02
O  0.658  0.979  0.700  -0.02
O  0.342  0.021  0.300  -0.02
O  0.865  0.392  0.302  -0.02
O  0.796  0.285  0.530  -0.02
O  0.204  0.715  0.470  -0.02
O  0.306  0.229  0.541  -0.02
O  0.694  0.771  0.459  -0.02
Br  0.098  0.665  0.081  0.15
Br  0.902  0.335  0.919  0.15

Values from the calculation:
**Symmetry**: P-1 (2)
**E_form (uncorrected)**: -1.5417 eV/atom

***

# 6
DFT (PBE-GGA) results for a relaxed structure of Pu2Br2O.

Unit cell a=3.699 b=3.699 c=13.589 alpha=90.00 beta=90.00 gamma=90.00
Last column: magnetic moment on the atom in μB.
Fractional coordinates of all 5 atoms:
Br  0.500  0.500  0.653  -0.14
Br  0.500  0.500  0.347  -0.14
Pu  0.500  0.500  0.849  5.31
Pu  0.500  0.500  0.151  5.31
O  0.500  0.500  0.000  -0.18

Values from the calculation:
**Distance to the lowest polymorph of the same formula**: 3.907 eV per formula unit
**Symmetry**: P4/mmm (123)
**E_form (uncorrected)**: -0.9761 eV/atom

***

# 7
DFT (PBE-GGA) results for a relaxed structure of PuBrO.

Unit cell a=3.767 b=3.767 c=5.694 alpha=90.00 beta=90.00 gamma=120.00
Last column: magnetic moment on the atom in μB.
Fractional coordinates of all 3 atoms:
Br  0.000  0.000  0.056  -0.04
O  0.333  0.667  0.523  -0.14
Pu  0.667  0.333  0.421  5.00

Values from the calculation:
**Symmetry**: P3m1 (156)
**E_form (uncorrected)**: -2.2988 eV/atom

***

# 8
DFT (PBE-GGA) results for a relaxed structure of PuBrO.

Unit cell a=3.984 b=5.703 c=8.231 alpha=94.58 beta=118.75 gamma=110.50
Last column: magnetic moment on the atom in μB.
Fractional coordinates of all 6 atoms:
Br  0.631  0.361  0.816  -0.03
Br  0.495  0.768  0.480  -0.03
Pu  0.061  0.146  0.357  5.03
Pu  0.065  0.983  0.939  5.03
O  0.492  0.222  0.248  -0.14
O  0.635  0.906  0.048  -0.14

Values from the calculation:
**Symmetry**: P-1 (2)
**E_form (uncorrected)**: -2.3486 eV/atom

***

# 9
DFT (PBE-GGA) results for a relaxed structure of PuBr2O6.

Unit cell a=6.572 b=8.325 c=8.325 alpha=72.99 beta=97.05 gamma=97.05
Last column: magnetic moment on the atom in μB.
Fractional coordinates of all 18 atoms:
O  0.872  0.882  0.290  0.02
O  0.128  0.118  0.710  0.02
O  0.372  0.290  0.882  0.02
O  0.545  0.262  0.462  0.47
O  0.455  0.738  0.538  0.47
O  0.628  0.710  0.118  0.02
O  0.085  0.872  0.984  0.02
O  0.045  0.462  0.262  0.47
O  0.915  0.128  0.016  0.02
O  0.955  0.538  0.738  0.47
O  0.415  0.016  0.128  0.02
O  0.585  0.984  0.872  0.02
Pu  0.750  0.924  0.076  -0.21
Pu  0.250  0.076  0.924  -0.21
Br  0.694  0.667  0.666  0.28
Br  0.306  0.333  0.334  0.28
Br  0.194  0.666  0.667  0.28
Br  0.806  0.334  0.333  0.28

Values from the calculation:
**Symmetry**: C2/c (15)
**E_form (uncorrected)**: -0.8187 eV/atom

***

# 10
DFT (PBE-GGA) results for a relaxed structure of Pu2Br2O.

Unit cell a=3.730 b=6.835 c=10.189 alpha=90.00 beta=100.55 gamma=90.00
Last column: magnetic moment on the atom in μB.
Fractional coordinates of all 10 atoms:
Pu  0.586  0.881  0.172  5.71
Pu  0.414  0.381  0.828  5.71
Pu  0.837  0.941  0.674  5.54
Pu  0.163  0.441  0.326  5.54
Br  0.969  0.726  0.939  -0.02
Br  0.795  0.500  0.590  -0.01
Br  0.205  0.000  0.410  -0.01
Br  0.031  0.226  0.061  -0.02
O  0.372  0.086  0.745  -0.12
O  0.628  0.586  0.255  -0.12

Values from the calculation:
**Distance to the lowest polymorph of the same formula**: 0.000 eV per formula unit
**Symmetry**: Cmc2_1 (36)
**E_form (uncorrected)**: -1.7575 eV/atom

***

# 11
DFT (PBE-GGA) results for a relaxed structure of PuBrO.

Unit cell a=6.299 b=6.949 c=6.953 alpha=67.65 beta=90.00 gamma=90.00
Last column: magnetic moment on the atom in μB.
Fractional coordinates of all 12 atoms:
Pu  0.822  0.060  0.293  5.03
Pu  0.322  0.440  0.207  5.03
Pu  0.678  0.560  0.793  5.03
Pu  0.178  0.940  0.707  5.03
Br  0.915  0.720  0.110  -0.03
Br  0.415  0.780  0.390  -0.03
Br  0.585  0.220  0.610  -0.03
Br  0.085  0.280  0.890  -0.03
O  0.101  0.189  0.396  -0.14
O  0.399  0.689  0.896  -0.14
O  0.899  0.811  0.604  -0.14
O  0.601  0.311  0.104  -0.14

Values from the calculation:
**Symmetry**: P2_1/c (14)
**E_form (uncorrected)**: -2.3608 eV/atom

***

# 12
DFT (PBE-GGA) results for a relaxed structure of Pu2Br3O.

Unit cell a=4.009 b=9.263 c=10.169 alpha=72.07 beta=78.63 gamma=77.50
Last column: magnetic moment on the atom in μB.
Fractional coordinates of all 12 atoms:
Br  0.666  0.674  0.994  -0.04
Br  0.960  0.842  0.237  -0.04
Br  0.040  0.158  0.763  -0.04
Br  0.779  0.821  0.621  -0.03
Br  0.221  0.179  0.379  -0.03
Br  0.334  0.326  0.006  -0.04
Pu  0.422  0.702  0.454  5.36
Pu  0.578  0.298  0.546  5.36
Pu  0.867  0.484  0.783  5.35
Pu  0.133  0.516  0.217  5.35
O  0.573  0.505  0.350  -0.12
O  0.427  0.495  0.650  -0.12

Values from the calculation:
**Symmetry**: C2/m (12)
**E_form (uncorrected)**: -1.9774 eV/atom

***

# 13
DFT (PBE-GGA) results for a relaxed structure of PuBrO.

Unit cell a=3.930 b=3.930 c=8.988 alpha=90.00 beta=90.00 gamma=90.00
Last column: magnetic moment on the atom in μB.
Fractional coordinates of all 6 atoms:
O  0.000  0.000  0.000  -0.12
O  0.500  0.500  0.000  -0.12
Pu  0.000  0.500  0.134  5.02
Pu  0.500  0.000  0.866  5.02
Br  0.500  0.000  0.316  -0.02
Br  0.000  0.500  0.684  -0.02

Values from the calculation:
**Symmetry**: P4/nmm (129)
**E_form (uncorrected)**: -2.4694 eV/atom

***

# 14
DFT (PBE-GGA) results for a relaxed structure of Pu3Br2O10.

Unit cell a=6.873 b=8.794 c=10.346 alpha=97.87 beta=109.40 gamma=90.00
Last column: magnetic moment on the atom in μB.
Fractional coordinates of all 30 atoms:
O  0.512  0.140  0.024  -0.17
O  0.146  0.018  0.811  -0.12
O  0.488  0.860  0.976  -0.17
O  0.890  0.348  0.217  -0.15
O  0.854  0.982  0.189  -0.12
O  0.665  0.018  0.811  -0.12
O  0.988  0.841  0.975  -0.11
O  0.110  0.652  0.783  -0.15
O  0.012  0.159  0.025  -0.11
O  0.674  0.652  0.783  -0.15
O  0.500  0.000  0.500  -0.24
O  0.808  0.816  0.616  -0.13
O  0.335  0.982  0.189  -0.12
O  0.172  0.773  0.343  -0.10
O  0.828  0.227  0.657  -0.10
O  0.180  0.500  0.000  -0.09
O  0.000  0.000  0.500  -0.24
O  0.326  0.348  0.217  -0.15
O  0.192  0.184  0.384  -0.13
O  0.820  0.500  0.000  -0.09
Pu  0.185  0.981  0.371  1.95
Pu  0.068  0.405  0.135  1.58
Pu  0.932  0.595  0.865  1.58
Pu  0.746  0.000  0.000  1.97
Pu  0.254  0.000  0.000  1.97
Pu  0.815  0.019  0.629  1.95
Br  0.335  0.387  0.671  -0.03
Br  0.261  0.570  0.522  -0.02
Br  0.739  0.430  0.478  -0.02
Br  0.665  0.613  0.329  -0.03

Values from the calculation:
**Symmetry**: C2/m (12)
**E_form (uncorrected)**: -1.8173 eV/atom

***

# 15
DFT (PBE-GGA) results for a relaxed structure of Rb4Pu3BrO12.

Unit cell a=7.747 b=7.747 c=7.747 alpha=109.47 beta=109.47 gamma=109.47
Last column: magnetic moment on the atom in μB.
Fractional coordinates of all 20 atoms:
Pu  0.000  0.500  0.500  1.81
Pu  0.500  0.000  0.500  1.81
Pu  0.500  0.500  0.000  1.81
O  0.750  0.250  0.500  -0.13
O  0.702  0.702  0.000  -0.06
O  0.000  0.702  0.702  -0.06
O  0.298  0.000  0.298  -0.06
O  0.500  0.750  0.250  -0.13
O  0.250  0.750  0.500  -0.13
O  0.000  0.298  0.298  -0.06
O  0.702  0.000  0.702  -0.06
O  0.750  0.500  0.250  -0.13
O  0.298  0.298  0.000  -0.06
O  0.500  0.250  0.750  -0.13
O  0.250  0.500  0.750  -0.13
Rb  0.000  0.000  0.500  0.00
Rb  0.500  0.000  0.000  0.00
Rb  0.500  0.500  0.500  0.00
Rb  0.000  0.500  0.000  0.00
Br  0.000  0.000  0.000  0.46

Values from the calculation:
**Symmetry**: Im-3m (229)
**E_form (uncorrected)**: -2.0566 eV/atom

***

# 16
DFT (PBE-GGA) results for a relaxed structure of Rb2PuBr4O2.

Unit cell a=6.216 b=7.345 c=7.345 alpha=65.49 beta=96.66 gamma=96.66
Last column: magnetic moment on the atom in μB.
Fractional coordinates of all 9 atoms:
Pu  0.500  0.000  0.000  2.48
Rb  0.718  0.346  0.346  0.00
Rb  0.282  0.654  0.654  0.00
Br  0.238  0.151  0.635  -0.05
Br  0.238  0.635  0.151  -0.05
Br  0.762  0.365  0.849  -0.05
Br  0.762  0.849  0.365  -0.05
O  0.646  0.886  0.886  -0.11
O  0.354  0.114  0.114  -0.11

Values from the calculation:
**Symmetry**: C2/m (12)
**E_form (uncorrected)**: -1.8170 eV/atom

***

# 17
DFT (PBE-GGA) results for a relaxed structure of Rb2PuBrO6.

Unit cell a=5.809 b=5.809 c=6.645 alpha=64.08 beta=64.08 gamma=90.00
Last column: magnetic moment on the atom in μB.
Fractional coordinates of all 10 atoms:
O  0.744  0.256  0.000  -0.06
O  0.256  0.744  0.000  -0.06
O  0.255  0.256  0.000  -0.06
O  0.179  0.179  0.642  -0.07
O  0.745  0.744  0.000  -0.06
O  0.821  0.821  0.358  -0.07
Rb  0.750  0.250  0.500  0.00
Rb  0.250  0.750  0.500  0.00
Pu  0.000  0.000  0.000  1.44
Br  0.500  0.500  0.000  -0.03

Values from the calculation:
**Symmetry**: I4/mmm (139)
**E_form (uncorrected)**: -1.5421 eV/atom

***

# 18
DFT (PBE-GGA) results for a relaxed structure of PuSBrO6.

Unit cell a=5.200 b=5.199 c=7.211 alpha=90.05 beta=90.01 gamma=60.01
Last column: magnetic moment on the atom in μB.
Fractional coordinates of all 9 atoms:
O  0.593  0.345  0.633  -0.11
O  0.593  0.062  0.367  -0.11
O  0.062  0.345  0.367  -0.10
O  0.062  0.593  0.633  -0.11
O  0.345  0.062  0.633  -0.11
O  0.345  0.593  0.367  -0.11
S  0.333  0.333  0.500  0.03
Pu  0.667  0.667  0.500  2.86
Br  0.000  0.000  0.000  0.70

Values from the calculation:
**Symmetry**: P312 (149)
**E_form (uncorrected)**: -1.0250 eV/atom

***

# 19
DFT (PBE-GGA) results for a relaxed structure of PuS2BrO8.

Unit cell a=5.929 b=5.929 c=6.581 alpha=90.00 beta=90.00 gamma=120.00
Last column: magnetic moment on the atom in μB.
Fractional coordinates of all 12 atoms:
Pu  0.000  0.000  0.000  4.14
O  0.198  0.802  0.854  -0.06
O  0.604  0.802  0.854  -0.06
O  0.802  0.604  0.146  -0.06
O  0.667  0.333  0.452  -0.06
O  0.802  0.198  0.146  -0.06
O  0.333  0.667  0.548  -0.06
O  0.198  0.396  0.854  -0.06
O  0.396  0.198  0.146  -0.06
S  0.333  0.667  0.766  0.01
S  0.667  0.333  0.234  0.01
Br  0.000  0.000  0.500  -0.50

Values from the calculation:
**Symmetry**: P-3m1 (164)
**E_form (uncorrected)**: -1.4691 eV/atom

***

# 20
DFT (PBE-GGA) results for a relaxed structure of Pu2SeBr2O.

Unit cell a=3.974 b=7.462 c=11.359 alpha=90.00 beta=90.00 gamma=90.00
Last column: magnetic moment on the atom in μB.
Fractional coordinates of all 12 atoms:
Br  0.000  0.368  0.225  -0.05
Br  0.500  0.362  0.883  -0.06
Br  0.500  0.862  0.117  -0.06
Br  0.000  0.868  0.775  -0.05
Pu  0.500  0.852  0.564  5.17
Pu  0.000  0.237  0.714  4.96
Pu  0.000  0.737  0.286  4.96
Pu  0.500  0.352  0.436  5.17
O  0.500  0.677  0.380  -0.16
O  0.500  0.177  0.620  -0.16
Se  0.000  0.048  0.431  -0.13
Se  0.000  0.548  0.569  -0.13

Values from the calculation:
**Symmetry**: Pmc2_1 (26)
**E_form (uncorrected)**: -1.9552 eV/atom

***

What are the V values for these records? In order: 97.2; 993.4; 145.9; 77.6; 311.8; 185.9; 70.0; 146.4; 430.4; 255.4; 281.5; 347.3; 138.8; 583.6; 357.9; 302.2; 176.3; 168.8; 200.3; 336.9 Å³/cell.
What are the DOS at the Fermi energy values for these records? In order: 6.535; 25.023; 13.167; 5.554; 10.811; 13.817; 5.577; 13.718; 11.145; 35.881; 29.339; 29.255; 13.176; 12.883; 15.227; 6.506; 0.573; 9.425; 15.585; 25.632 states/eV/cell.